1.
An optimized crystal structure of Hg2PPt, computed with GGA-PBEsol.

The calculation puts the energy of formation from the pure elements at 12.4 meV per atom. Its energy is -3.460 eV per atom. For the spin magnetization, the calculation gives 0.000 μB per formula unit.

The structure belongs to space group Cm (No. 8); the cell edges are 9.6279, 3.2052 and 5.8182 Å and the angles 90.00°, 112.14° and 90.00°. The distinct sites, in fractional coordinates, are Hg at (0.0000, 0.0000, 0.0000), Hg at (0.1852, 0.0000, 0.6854), P at (0.3523, 0.0000, 0.4320) and Pt at (0.2623, 0.5000, 0.1359).



2.
An optimized crystal structure of TiHgPPt2, computed with GGA-PBEsol.

The calculation puts the energy of formation from the pure elements at -90.0 meV per atom. Its energy is -5.811 eV per atom. For the spin magnetization, the calculation gives 0.001 μB per formula unit.

The structure belongs to space group P4/mmm (No. 123); the cell edges are 4.4777, 4.4777 and 4.4751 Å and the angles 90.00°, 90.00° and 90.00°. The distinct sites, in fractional coordinates, are Ti at (0.0000, 0.0000, 0.0000), Hg at (0.5000, 0.5000, 0.0000), P at (0.0000, 0.0000, 0.5000) and Pt at (0.0000, 0.5000, 0.5000).



3.
An optimized crystal structure of RbHg2P2, computed with GGA-PBEsol.

The calculation puts the energy of formation from the pure elements at 79.4 meV per atom. Its energy is -2.669 eV per atom. For the spin magnetization, the calculation gives 0.000 μB per formula unit.

The structure belongs to space group I4/mmm (No. 139); the cell edges are 4.6903, 4.6903 and 10.7798 Å and the angles 90.00°, 90.00° and 90.00°. The distinct sites, in fractional coordinates, are Rb at (0.0000, 0.0000, 0.0000), Hg at (0.0000, 0.0000, 0.3698) and P at (0.0000, 0.5000, 0.2500).



4.
An optimized crystal structure of Rb2HgPSe5, computed with GGA-PBEsol.

Its energy is -3.663 eV per atom. Its uncorrected formation energy is -0.589 eV per atom. For the spin magnetization, the calculation gives 0.000 μB per formula unit.

The structure belongs to space group P4_2/n (No. 86, origin choice 2); the cell edges are 17.5510, 17.5510 and 7.0873 Å and the angles 90.00°, 90.00° and 90.00°. The distinct sites, in fractional coordinates, are Rb at (0.0756, 0.3971, 0.2278), Rb at (0.1284, 0.6622, 0.2652), Hg at (0.1201, 0.3127, 0.7227), P at (0.0190, 0.8438, 0.2317), Se at (0.0028, 0.7855, 0.9603), Se at (0.0164, 0.2304, 0.5276), Se at (0.0507, 0.4462, 0.7429), Se at (0.1213, 0.6374, 0.7755) and Se at (0.1807, 0.2400, 0.0179).



5.
An optimized crystal structure of RbTcHg2P, computed with GGA-PBEsol.

The calculation puts the energy of formation from the pure elements at 1299.1 meV per atom. Its energy is -2.544 eV per atom. For the spin magnetization, the calculation gives 4.981 μB per formula unit.

The structure belongs to space group P4/mmm (No. 123); the cell edges are 5.2016, 5.2016 and 6.2325 Å and the angles 90.00°, 90.00° and 90.00°. The distinct sites, in fractional coordinates, are Rb at (0.0000, 0.0000, 0.0000), Tc at (0.0000, 0.0000, 0.5000), Hg at (0.0000, 0.5000, 0.5000) and P at (0.5000, 0.5000, 0.0000).



6.
An optimized crystal structure of ReHgP2, computed with GGA-PBEsol.

The calculation puts the energy of formation from the pure elements at 869.2 meV per atom. Its energy is -5.501 eV per atom. For the spin magnetization, the calculation gives 0.001 μB per formula unit.

The structure belongs to space group I-4m2 (No. 119); the cell edges are 3.7693, 3.7693 and 8.7136 Å and the angles 90.00°, 90.00° and 90.00°. The distinct sites, in fractional coordinates, are Re at (0.0000, 0.0000, 0.0000), Hg at (0.0000, 0.5000, 0.2500), P at (0.0000, 0.0000, 0.5000) and P at (0.0000, 0.5000, 0.7500).



7.
An optimized crystal structure of Re2HgP, computed with GGA-PBEsol.

The calculation puts the energy of formation from the pure elements at 210.5 meV per atom. Its energy is -8.045 eV per atom. For the spin magnetization, the calculation gives 0.000 μB per formula unit.

The structure belongs to space group R3m (No. 160, hexagonal axes); the cell edges are 2.8808, 2.8808 and 26.6275 Å and the angles 90.00°, 90.00° and 120.00°. The distinct sites, in fractional coordinates, are Re at (0.0000, 0.0000, 0.0000), Re at (0.0000, 0.0000, 0.2551), Hg at (0.0000, 0.0000, 0.4962) and P at (0.0000, 0.0000, 0.7327).



8.
An optimized crystal structure of Re2HgP, computed with GGA-PBEsol.

The calculation puts the energy of formation from the pure elements at 276.2 meV per atom. Its energy is -7.979 eV per atom. For the spin magnetization, the calculation gives 0.000 μB per formula unit.

The structure belongs to space group R-3m (No. 166, hexagonal axes); the cell edges are 2.8494, 2.8494 and 25.7988 Å and the angles 90.00°, 90.00° and 120.00°. The distinct sites, in fractional coordinates, are Re at (0.0000, 0.0000, 0.2366), Hg at (0.0000, 0.0000, 0.0000) and P at (0.0000, 0.0000, 0.5000).



Copy entry 6 word for word.
An optimized crystal structure of ReHgP2, computed with GGA-PBEsol.

The calculation puts the energy of formation from the pure elements at 869.2 meV per atom. Its energy is -5.501 eV per atom. For the spin magnetization, the calculation gives 0.001 μB per formula unit.

The structure belongs to space group I-4m2 (No. 119); the cell edges are 3.7693, 3.7693 and 8.7136 Å and the angles 90.00°, 90.00° and 90.00°. The distinct sites, in fractional coordinates, are Re at (0.0000, 0.0000, 0.0000), Hg at (0.0000, 0.5000, 0.2500), P at (0.0000, 0.0000, 0.5000) and P at (0.0000, 0.5000, 0.7500).